This record from Alexandria via LeMat-Bulk describes BaOsRu after structural relaxation. The functional is PBE.

Values from the calculation:
The spin magnetization comes out at 0.0 μB per formula unit. The energy of formation from the pure elements is 0.615 eV/atom. As for the symmetry: Imm2. As for the density of states at the Fermi level: 0.8961 states/eV/atom. The total energy comes out at -20.6 eV per cell.

abc: 6.4120 6.4120 6.4120
angles: 153.19 145.22 44.45
With the nearest neighbours (Å) after each atom.
Positions (direct):
Os 0.2854 0.2854 0.0000  4 Ru 2.56
Ba 0.9992 0.9992 0.0000  2 Ba 2.97
Ru 0.7154 0.7154 0.0000  4 Os 2.56